# CoTc2IrN PBE-GGA optimized geometry
data_CoTc2IrN
_chemical_formula_sum 'Co1 Tc2 Ir1 N1'
_cell_length_a 4.965
_cell_length_b 4.965
_cell_length_c 3.611
_cell_angle_alpha 90.00
_cell_angle_beta 90.00
_cell_angle_gamma 90.00
_symmetry_space_group_name_H-M 'P 1'
_symmetry_Int_Tables_number 1
loop_
_symmetry_equiv_pos_as_xyz
'x,y,z'
loop_
_atom_site_label
_atom_site_type_symbol
_atom_site_fract_x
_atom_site_fract_y
_atom_site_fract_z
Ir1 Ir 0.000 0.000 0.000
Co1 Co 0.500 0.500 0.500
Tc1 Tc 0.000 0.500 0.000
Tc2 Tc 0.500 0.000 0.000
N1 N 0.000 0.000 0.500
# - Magnetic moment: 6.233 μB per formula unit
# - ΔE to the lowest computed polymorph: 1688 meV per atom

=====

# CoTc2IrN PBE-GGA optimized geometry
data_CoTc2IrN
_chemical_formula_sum 'Co1 Tc2 Ir1 N1'
_cell_length_a 3.991
_cell_length_b 3.991
_cell_length_c 3.864
_cell_angle_alpha 90.00
_cell_angle_beta 90.00
_cell_angle_gamma 90.00
_symmetry_space_group_name_H-M 'P 1'
_symmetry_Int_Tables_number 1
loop_
_symmetry_equiv_pos_as_xyz
'x,y,z'
loop_
_atom_site_label
_atom_site_type_symbol
_atom_site_fract_x
_atom_site_fract_y
_atom_site_fract_z
Ir1 Ir 0.500 0.500 0.500
Co1 Co 0.000 0.000 0.500
Tc1 Tc 0.000 0.500 0.000
Tc2 Tc 0.500 0.000 0.000
N1 N 0.000 0.000 0.000
# - Magnetic moment: 0.000 μB per formula unit
# - ΔE to the lowest computed polymorph: 0 meV per atom

=====

# Co2TcIrN PBE-GGA optimized geometry
data_Co2TcIrN
_chemical_formula_sum 'Co2 Tc1 Ir1 N1'
_cell_length_a 3.830
_cell_length_b 3.830
_cell_length_c 3.942
_cell_angle_alpha 90.00
_cell_angle_beta 90.00
_cell_angle_gamma 90.00
_symmetry_space_group_name_H-M 'P 1'
_symmetry_Int_Tables_number 1
loop_
_symmetry_equiv_pos_as_xyz
'x,y,z'
loop_
_atom_site_label
_atom_site_type_symbol
_atom_site_fract_x
_atom_site_fract_y
_atom_site_fract_z
Ir1 Ir 0.500 0.500 0.500
Co1 Co 0.000 0.500 0.000
Co2 Co 0.500 0.000 0.000
Tc1 Tc 0.000 0.000 0.500
N1 N 0.000 0.000 0.000
# - Magnetic moment: 1.642 μB per formula unit

=====

# CoTeIrN2 PBE-GGA optimized geometry
data_CoTeIrN2
_chemical_formula_sum 'Co1 Te1 Ir1 N2'
_cell_length_a 3.618
_cell_length_b 3.618
_cell_length_c 6.091
_cell_angle_alpha 90.00
_cell_angle_beta 90.00
_cell_angle_gamma 90.00
_symmetry_space_group_name_H-M 'P 1'
_symmetry_Int_Tables_number 1
loop_
_symmetry_equiv_pos_as_xyz
'x,y,z'
loop_
_atom_site_label
_atom_site_type_symbol
_atom_site_fract_x
_atom_site_fract_y
_atom_site_fract_z
Co1 Co 0.000 0.000 0.000
Ir1 Ir 0.500 0.500 0.500
Te1 Te 0.000 0.000 0.500
N1 N 0.000 0.500 0.000
N2 N 0.500 0.000 0.000
# - Magnetic moment: 0.000 μB per formula unit
# - ΔE to the lowest computed polymorph: 343 meV per atom

=====

# CoTeIrN2 PBE-GGA optimized geometry
data_CoTeIrN2
_chemical_formula_sum 'Co1 Te1 Ir1 N2'
_cell_length_a 3.757
_cell_length_b 3.757
_cell_length_c 6.055
_cell_angle_alpha 90.00
_cell_angle_beta 90.00
_cell_angle_gamma 90.00
_symmetry_space_group_name_H-M 'P 1'
_symmetry_Int_Tables_number 1
loop_
_symmetry_equiv_pos_as_xyz
'x,y,z'
loop_
_atom_site_label
_atom_site_type_symbol
_atom_site_fract_x
_atom_site_fract_y
_atom_site_fract_z
Co1 Co 0.500 0.500 0.500
Ir1 Ir 0.000 0.000 0.000
Te1 Te 0.000 0.000 0.500
N1 N 0.000 0.500 0.000
N2 N 0.500 0.000 0.000
# - Magnetic moment: 1.982 μB per formula unit
# - ΔE to the lowest computed polymorph: 0 meV per atom

=====

# V2CoIrN PBE-GGA optimized geometry
data_V2CoIrN
_chemical_formula_sum 'V2 Co1 Ir1 N1'
_cell_length_a 4.206
_cell_length_b 4.457
_cell_length_c 4.206
_cell_angle_alpha 90.00
_cell_angle_beta 90.00
_cell_angle_gamma 90.00
_symmetry_space_group_name_H-M 'P 1'
_symmetry_Int_Tables_number 1
loop_
_symmetry_equiv_pos_as_xyz
'x,y,z'
loop_
_atom_site_label
_atom_site_type_symbol
_atom_site_fract_x
_atom_site_fract_y
_atom_site_fract_z
N1 N 0.500 0.500 0.500
Ir1 Ir 0.000 0.500 0.000
Co1 Co 0.000 0.000 0.000
V1 V 0.000 0.000 0.500
V2 V 0.500 0.000 0.000
# - Magnetic moment: 0.092 μB per formula unit
# - ΔE to the lowest computed polymorph: 2380 meV per atom

=====

# V2CoIrN PBE-GGA optimized geometry
data_V2CoIrN
_chemical_formula_sum 'V2 Co1 Ir1 N1'
_cell_length_a 3.909
_cell_length_b 3.909
_cell_length_c 3.757
_cell_angle_alpha 90.00
_cell_angle_beta 90.00
_cell_angle_gamma 90.00
_symmetry_space_group_name_H-M 'P 1'
_symmetry_Int_Tables_number 1
loop_
_symmetry_equiv_pos_as_xyz
'x,y,z'
loop_
_atom_site_label
_atom_site_type_symbol
_atom_site_fract_x
_atom_site_fract_y
_atom_site_fract_z
N1 N 0.000 0.000 0.000
Ir1 Ir 0.500 0.500 0.500
Co1 Co 0.000 0.000 0.500
V1 V 0.000 0.500 0.000
V2 V 0.500 0.000 0.000
# - Magnetic moment: 0.248 μB per formula unit
# - ΔE to the lowest computed polymorph: 0 meV per atom

=====

# CoIrW2N PBE-GGA optimized geometry
data_CoIrW2N
_chemical_formula_sum 'Co1 Ir1 W2 N1'
_cell_length_a 4.071
_cell_length_b 4.071
_cell_length_c 3.861
_cell_angle_alpha 90.00
_cell_angle_beta 90.00
_cell_angle_gamma 90.00
_symmetry_space_group_name_H-M 'P 1'
_symmetry_Int_Tables_number 1
loop_
_symmetry_equiv_pos_as_xyz
'x,y,z'
loop_
_atom_site_label
_atom_site_type_symbol
_atom_site_fract_x
_atom_site_fract_y
_atom_site_fract_z
Ir1 Ir 0.500 0.500 0.500
Co1 Co 0.000 0.000 0.500
W1 W 0.000 0.500 0.000
W2 W 0.500 0.000 0.000
N1 N 0.000 0.000 0.000
# - Magnetic moment: 0.317 μB per formula unit

=====

| no. | formation energy from raw total energies (eV/atom) |
| --- | --- |
| 1 | 1.783 |
| 2 | 0.095 |
| 3 | 0.153 |
| 4 | 1.317 |
| 5 | 0.974 |
| 6 | 1.856 |
| 7 | -0.524 |
| 8 | -0.072 |